KTaSe | GGA-PBEsol | optimized geometry

Unit cell a=4.939 b=4.939 c=4.939 alpha=60.00 beta=60.00 gamma=60.00
Last column: magnetic moment on the atom in μB.
Fractional positions:
K1 0.250 0.250 0.250  0.12
Se1 0.000 0.000 0.000  -0.09
Ta1 0.500 0.500 0.500  2.45

Summary:
Density of states at the Fermi level, states/eV per cell: 3.29

***

K2Ta3Se6 | GGA-PBEsol | optimized geometry

Unit cell a=3.516 b=3.516 c=46.209 alpha=90.00 beta=90.00 gamma=120.00
Fractional positions:
Ta1 0.667 0.333 0.763
Se1 0.333 0.667 0.553
K1 0.000 0.000 0.676
Se2 0.333 0.667 0.447
Se3 0.333 0.667 0.122
Ta2 0.667 0.333 0.912
Ta3 0.667 0.333 0.088
Se4 0.333 0.667 0.377
K2 0.000 0.000 0.324
Se5 0.333 0.667 0.052
Se6 0.333 0.667 0.728
Ta4 0.667 0.333 0.412
K3 0.000 0.000 0.000
Ta5 0.667 0.333 0.588
K4 0.667 0.333 0.500
Se7 0.333 0.667 0.272
Se8 0.333 0.667 0.878
Se9 0.333 0.667 0.202
Se10 0.333 0.667 0.798
Se11 0.333 0.667 0.623
Se12 0.333 0.667 0.948
Ta6 0.667 0.333 0.237

Summary:
Density of states at the Fermi level, states/eV per cell: 7.39

***

KTc3Se | GGA-PBEsol | optimized geometry

Unit cell a=4.455 b=4.455 c=4.455 alpha=90.00 beta=90.00 gamma=90.00
Last column: magnetic moment on the atom in μB.
Fractional positions:
Tc1 0.000 0.500 0.000  0.43
Tc2 0.000 0.000 0.500  0.43
Se1 0.500 0.500 0.500  -0.04
K1 0.000 0.000 0.000  0.02
Tc3 0.500 0.000 0.000  0.43

Summary:
Density of states at the Fermi level, states/eV per cell: 7.60

***

KTc2Se | GGA-PBEsol | optimized geometry

Unit cell a=2.949 b=3.633 c=7.608 alpha=90.00 beta=90.00 gamma=90.00
Fractional positions:
K1 0.000 0.000 0.513
Tc1 0.000 0.000 0.012
Tc2 0.500 0.500 0.150
Se1 0.500 0.500 0.825

Summary:
Density of states at the Fermi level, states/eV per cell: 3.64

***

K2Tc3Se6 | GGA-PBEsol | optimized geometry

Unit cell a=9.896 b=9.896 c=12.242 alpha=88.79 beta=88.79 gamma=60.44
Fractional positions:
K1 0.395 0.605 0.750
Tc1 0.314 0.005 0.527
Se1 0.940 0.391 0.222
Se2 0.249 0.076 0.331
Se3 0.076 0.249 0.831
Se4 0.609 0.060 0.278
Se5 0.391 0.940 0.722
Se6 0.447 0.719 0.481
Tc2 0.995 0.686 0.973
Se7 0.737 0.558 0.694
Se8 0.751 0.924 0.669
Se9 0.003 0.934 0.917
Se10 0.924 0.751 0.169
Tc3 0.112 0.472 0.126
Se11 0.066 0.997 0.583
Se12 0.060 0.609 0.778
Tc4 0.472 0.112 0.626
K2 0.219 0.781 0.250
Tc5 0.184 0.398 0.919
Se13 0.713 0.800 0.928
Se14 0.719 0.447 0.981
Se15 0.200 0.287 0.572
Se16 0.281 0.553 0.019
K3 0.123 0.649 0.519
Se17 0.558 0.737 0.194
Se18 0.553 0.281 0.519
K4 0.351 0.877 0.981
K5 0.781 0.219 0.750
Se19 0.442 0.263 0.806
Tc6 0.398 0.184 0.419
Tc7 0.686 0.995 0.473
Se20 0.934 0.003 0.417
Tc8 0.602 0.816 0.581
K6 0.605 0.395 0.250
Tc9 0.005 0.314 0.027
K7 0.649 0.123 0.019
Tc10 0.888 0.528 0.874
K8 0.877 0.351 0.481
Se21 0.997 0.066 0.083
Tc11 0.816 0.602 0.081
Se22 0.287 0.200 0.072
Se23 0.263 0.442 0.306
Tc12 0.528 0.888 0.374
Se24 0.800 0.713 0.428

***

K3TcSe | GGA-PBEsol | optimized geometry

Unit cell a=6.151 b=6.151 c=6.151 alpha=90.00 beta=90.00 gamma=90.00
Last column: magnetic moment on the atom in μB.
Fractional positions:
K1 0.000 0.000 0.500  0.00
K2 0.000 0.500 0.000  0.00
Tc1 0.500 0.500 0.500  3.57
Se1 0.000 0.000 0.000  0.01
K3 0.500 0.000 0.000  0.00

Summary:
Density of states at the Fermi level, states/eV per cell: 5.39

***

K2TeSe3 | GGA-PBEsol | optimized geometry

Unit cell a=6.543 b=10.104 c=13.058 alpha=106.60 beta=90.00 gamma=90.00
Fractional positions:
K1 0.246 0.489 0.874
Se1 0.258 0.536 0.135
Se2 0.657 0.849 0.208
Se3 0.843 0.849 0.708
Se4 0.255 0.823 0.484
K2 0.255 0.162 0.043
K3 0.254 0.489 0.374
Te1 0.215 0.794 0.668
Se5 0.245 0.823 0.984
Te2 0.715 0.206 0.832
Te3 0.285 0.794 0.168
Se6 0.742 0.464 0.865
K4 0.746 0.511 0.626
K5 0.245 0.162 0.543
Se7 0.343 0.151 0.792
Se8 0.157 0.151 0.292
K6 0.755 0.838 0.457
Se9 0.745 0.177 0.516
K7 0.745 0.838 0.957
Se10 0.758 0.464 0.365
K8 0.754 0.511 0.126
Te4 0.785 0.206 0.332
Se11 0.755 0.177 0.016
Se12 0.242 0.536 0.635

Summary:
Density of states at the Fermi level, states/eV per cell: 0.00

***

KTeSe2 | GGA-PBEsol | optimized geometry

Unit cell a=4.286 b=4.286 c=6.733 alpha=90.00 beta=90.00 gamma=90.00
Fractional positions:
Se1 0.000 0.000 0.956
K1 0.500 0.500 0.857
Te1 0.000 0.000 0.322
Se2 0.500 0.500 0.365

Summary:
Density of states at the Fermi level, states/eV per cell: 1.27

***

KTeSe2 | GGA-PBEsol | optimized geometry

Unit cell a=3.988 b=5.943 c=5.943 alpha=64.25 beta=70.39 gamma=70.39
Fractional positions:
K1 0.000 0.500 0.500
Te1 0.500 0.000 0.000
Se1 0.203 0.797 0.797
Se2 0.797 0.203 0.203

Summary:
Density of states at the Fermi level, states/eV per cell: 1.67

***

KTeSe2 | GGA-PBEsol | optimized geometry

Unit cell a=4.172 b=4.398 c=6.608 alpha=90.11 beta=108.40 gamma=90.00
Fractional positions:
Se1 0.284 0.374 0.569
K1 0.729 0.874 0.458
Se2 0.005 0.876 0.011
Te1 0.481 0.376 0.962

Summary:
Density of states at the Fermi level, states/eV per cell: 1.19

***

KTeSe2 | GGA-PBEsol | optimized geometry

Unit cell a=3.869 b=4.046 c=7.581 alpha=89.98 beta=90.00 gamma=90.00
Fractional positions:
Te1 0.500 0.000 0.500
Se1 0.000 0.000 0.756
Se2 0.000 0.000 0.244
K1 0.500 0.500 0.000

Summary:
Density of states at the Fermi level, states/eV per cell: 1.83

***

KTeSe | GGA-PBEsol | optimized geometry

Unit cell a=5.158 b=5.158 c=5.158 alpha=60.00 beta=60.00 gamma=60.00
Fractional positions:
Te1 0.500 0.500 0.500
Se1 0.000 0.000 0.000
K1 0.250 0.250 0.250

Summary:
Density of states at the Fermi level, states/eV per cell: 2.60

***

no.,formation energy (no corrections) (eV/f.u.)
1,5.3
2,-10.1
3,16.0
4,1.5
5,-8.4
6,3.2
7,-4.0
8,-1.8
9,-1.7
10,-1.8
11,-1.8
12,0.2